No. 1
VASP calculation (PBE-GGA) on DyYCu4 after structural relaxation.

Cell: 7.4490 7.4490 7.4490 Å, 90.00 90.00 90.00°
With the nearest neighbours (Å) after each atom.
Space group F-43m (No. 216)
Symmetry-distinct sites (fractional):
Dy (0.0000, 0.0000, 0.0000) (multiplicity 4)  12 Cu 3.09, 4 Y 3.23
Y (0.2500, 0.2500, 0.7500) (multiplicity 4)  12 Cu 3.09, 4 Dy 3.23
Cu (0.1250, 0.1250, 0.3750) (multiplicity 16)  6 Cu 2.63

Offset from the most stable computed form: 102.1 meV per atom
ΔE_f: -169 meV per atom
DFT total energy: -4.7443 eV per atom
Mass density: 8.1 Mg/m³
Total magnetization: 0.0 μB/cell


No. 2
VASP calculation (PBE-GGA) on DyY2Cu after structural relaxation.

Cell: 6.8455 9.7506 6.5175 Å, 90.00 90.00 90.00°
With the nearest neighbours (Å) after each atom.
Space group Pnma (No. 62)
Symmetry-distinct sites (fractional):
Dy (0.0197, 0.2500, 0.1339) (multiplicity 4)  2 Cu 2.82-2.88
Y (0.1904, 0.0601, 0.6857) (multiplicity 8)  2 Cu 2.84-2.92
Cu (0.0967, 0.7500, 0.4510) (multiplicity 4)  2 Dy 2.82-2.88, 4 Y 2.84-2.92

Offset from the most stable computed form: 0.0 meV per atom
ΔE_f: -110 meV per atom
DFT total energy: -5.5161 eV per atom
Mass density: 6.2 Mg/m³
Total magnetization: 0.0 μB/cell


No. 3
VASP calculation (PBE-GGA) on DyY2Cu after structural relaxation.

Cell: 3.5007 3.5007 8.7215 Å, 90.00 90.00 90.00°
With the nearest neighbours (Å) after each atom.
Space group P4/mmm (No. 123)
Symmetry-distinct sites (fractional):
Dy (0.0000, 0.0000, 0.0000) (multiplicity 1)  4 Dy 3.50, 8 Y 3.61
Y (0.5000, 0.5000, 0.3018) (multiplicity 2)  4 Cu 3.02
Cu (0.0000, 0.0000, 0.5000) (multiplicity 1)  8 Y 3.02

Offset from the most stable computed form: 21.6 meV per atom
ΔE_f: -88 meV per atom
DFT total energy: -5.4945 eV per atom
Mass density: 6.3 Mg/m³
Total magnetization: 0.0 μB/cell


No. 4
VASP calculation (PBE-GGA) on DyYCu after structural relaxation.

Cell: 12.6231 3.6978 8.1151 Å, 90.00 126.82 90.00°
With the nearest neighbours (Å) after each atom.
Space group C2/m (No. 12)
Symmetry-distinct sites (fractional):
Dy (0.0982, 0.0000, 0.3884) (multiplicity 4)  4 Cu 2.84-3.10
Y (0.1563, 0.5000, 0.0635) (multiplicity 4)  3 Cu 2.92-2.95
Cu (0.1202, 0.5000, 0.6735) (multiplicity 4)  1 Cu 2.63, 2 Dy 2.84, 1 Y 2.92

Offset from the most stable computed form: 20.8 meV per atom
ΔE_f: -149 meV per atom
DFT total energy: -5.2036 eV per atom
Mass density: 6.9 Mg/m³
Total magnetization: 0.0 μB/cell